DFT (GGA-PBE) results for crystalline Pr5Dy2Y2 at its relaxed geometry.

Summary:
For the energy of formation, the calculation gives 0.018 eV/atom. For the energy above the most stable polymorph in this dataset, the calculation gives 0 kJ/mol of formula units. As for the crystal system: monoclinic.

Cell lengths 6.322, 6.322, 10.927 Å; angles 106.67, 106.67, 48.12 degrees
Element x y z (fractional)
Pr  0.000  0.000  0.000
Pr  0.335  0.335  0.113
Pr  0.335  0.335  0.445
Pr  0.665  0.665  0.555
Pr  0.665  0.665  0.887
Dy  0.001  0.001  0.334
Dy  0.999  0.999  0.666
Y  0.332  0.332  0.776
Y  0.668  0.668  0.224

DFT (GGA-PBE) results for crystalline PrDy4Y2 at its relaxed geometry.

Summary:
For the energy of formation, the calculation gives 0.012 eV/atom. As for the crystal system: trigonal.

Cell lengths 3.602, 3.602, 20.201 Å; angles 90.00, 90.00, 120.00 degrees
Element x y z (fractional)
Pr  0.000  0.000  0.000
Dy  0.333  0.667  0.289
Dy  0.333  0.667  0.571
Dy  0.667  0.333  0.148
Dy  0.667  0.333  0.854
Y  0.000  0.000  0.431
Y  0.000  0.000  0.713

DFT (GGA-PBE) results for crystalline Pr2Dy6Y at its relaxed geometry.

Summary:
For the energy of formation, the calculation gives 0.195 eV/atom. For the energy above the most stable polymorph in this dataset, the calculation gives 77 kJ/mol of formula units. As for the crystal system: orthorhombic.

Cell lengths 10.215, 10.215, 10.215 Å; angles 160.59, 120.59, 63.13 degrees
Element x y z (fractional)
Pr  0.169  0.169  0.000
Pr  0.831  0.831  0.000
Dy  0.145  0.334  0.810
Dy  0.192  0.000  0.192
Dy  0.476  0.666  0.810
Dy  0.524  0.334  0.190
Dy  0.808  0.000  0.808
Dy  0.855  0.666  0.190
Y  0.500  0.500  0.000

DFT (GGA-PBE) results for crystalline Pr3Dy2Y at its relaxed geometry.

Summary:
For the energy of formation, the calculation gives 0.299 eV/atom. For the energy above the most stable polymorph in this dataset, the calculation gives 111 kJ/mol of formula units. As for the crystal system: orthorhombic.

Cell lengths 8.818, 8.818, 8.818 Å; angles 98.38, 97.05, 137.01 degrees
Element x y z (fractional)
Pr  0.000  0.211  0.211
Pr  0.000  0.789  0.789
Pr  0.500  0.000  0.000
Pr  0.500  0.211  0.711
Pr  0.500  0.500  0.500
Pr  0.500  0.789  0.289
Dy  0.280  0.685  0.595
Dy  0.410  0.315  0.095
Dy  0.590  0.685  0.905
Dy  0.720  0.315  0.405
Y  0.051  0.801  0.250
Y  0.949  0.199  0.750